[1]
Here is crystalline K8Br3OF3 at its relaxed geometry from Alexandria via LeMat-Bulk. Energies are from PBE-GGA.

Summary:
Formation energy (no corrections)   -1.96 eV/atom
Space-group type   R-3m (166)
E   -3.58 eV per atom

extended XYZ file:
```
15
Lattice="4.119 2.378 7.474 -4.119 2.378 7.474 0.000 -4.756 7.474" Properties=species:S:1:pos:R:3 pbc="T T T"
K 0.000 0.000 5.227
K -1.909 -1.102 12.608
K 0.000 -2.205 9.812
K -1.909 1.102 9.812
K 1.909 -1.102 12.608
K 0.000 2.205 12.608
K 1.909 1.102 9.812
K 0.000 0.000 17.194
Br -2.060 -1.189 7.474
Br -2.060 1.189 14.947
Br 0.000 2.378 7.474
O 0.000 0.000 11.210
F -4.119 0.000 11.210
F -2.060 1.189 3.737
F 2.060 1.189 3.737
```



[2]
Here is crystalline NiSn2Os at its relaxed geometry from Alexandria via LeMat-Bulk. Energies are from PBE-GGA.

Summary:
Energy of formation   0.621 eV per atom
Space-group type   I-42d (122)
E   -5.63 eV per atom

extended XYZ file:
```
16
Lattice="4.249 0.000 0.000 0.000 4.249 0.000 0.000 0.000 17.331" Properties=species:S:1:pos:R:3 pbc="T T T"
Ni 0.000 0.000 0.000
Ni 0.000 2.125 4.333
Ni 2.125 0.000 12.998
Ni 2.125 2.125 8.665
Sn 1.007 1.062 2.166
Sn 1.062 3.132 6.499
Sn 1.062 3.242 15.165
Sn 1.117 1.062 10.832
Sn 3.132 3.187 10.832
Sn 3.187 1.007 15.165
Sn 3.187 1.117 6.499
Sn 3.242 3.187 2.166
Os 0.000 0.000 8.665
Os 0.000 2.125 12.998
Os 2.125 0.000 4.333
Os 2.125 2.125 0.000
```



[3]
Here is crystalline CaDyHo at its relaxed geometry from Alexandria via LeMat-Bulk. Energies are from PBE-GGA.

Summary:
Energy of formation   0.079 eV per atom
Space-group type   P3m1 (156)
E   -3.65 eV per atom

extended XYZ file:
```
3
Lattice="3.601 0.000 0.000 -1.801 3.119 0.000 0.000 0.000 9.076" Properties=species:S:1:pos:R:3 pbc="T T T"
Ca 0.000 0.000 0.000
Dy 0.000 2.079 5.903
Ho 1.801 1.040 3.155
```



[4]
Here is crystalline TlSn2PtSe at its relaxed geometry from Alexandria via LeMat-Bulk. Energies are from PBE-GGA.

Summary:
Formation energy (no corrections)   0.74 eV/atom
Space-group type   P4/mmm (123)
E   -3.24 eV per atom

extended XYZ file:
```
5
Lattice="5.454 0.000 0.000 0.000 5.454 0.000 0.000 0.000 5.533" Properties=species:S:1:pos:R:3 pbc="T T T"
Tl 0.000 0.000 0.000
Sn 0.000 2.727 2.767
Sn 2.727 0.000 2.767
Pt 2.727 2.727 0.000
Se 0.000 0.000 2.767
```



[5]
Here is crystalline LiDy5Tl3 at its relaxed geometry from Alexandria via LeMat-Bulk. Energies are from PBE-GGA.

Summary:
Energy of formation   -0.274 eV per atom
Space-group type   P6_3/mcm (193)
E   -3.83 eV per atom

extended XYZ file:
```
18
Lattice="9.272 0.000 0.000 -4.636 8.030 0.000 0.000 0.000 6.643" Properties=species:S:1:pos:R:3 pbc="T T T"
Li 0.000 0.000 0.000
Li 0.000 0.000 3.322
Dy -1.420 2.460 1.661
Dy -3.216 5.571 4.982
Dy 2.840 0.000 1.661
Dy 1.420 2.460 4.982
Dy 0.000 5.353 0.000
Dy 0.000 5.353 3.322
Dy 4.636 2.677 0.000
Dy 4.636 2.677 3.322
Dy 6.432 0.000 4.982
Dy 3.216 5.571 1.661
Tl -1.634 2.831 4.982
Tl -3.002 5.200 1.661
Tl 3.269 0.000 4.982
Tl 1.634 2.831 1.661
Tl 6.004 0.000 1.661
Tl 3.002 5.200 4.982
```



[6]
Here is crystalline Nd7AuSe5 at its relaxed geometry from Alexandria via LeMat-Bulk. Energies are from PBE-GGA.

Summary:
Formation energy (no corrections)   -1.53 eV/atom
Space-group type   Cmcm (63)
E   -5.69 eV per atom

extended XYZ file:
```
26
Lattice="2.078 -6.948 0.000 2.078 6.948 0.000 0.000 0.000 25.350" Properties=species:S:1:pos:R:3 pbc="T T T"
Nd 2.078 6.459 19.013
Nd 2.078 5.030 0.945
Nd 2.078 5.030 11.730
Nd 2.078 2.702 17.189
Nd 2.078 2.702 20.836
Nd 2.078 1.190 2.750
Nd 2.078 1.190 9.925
Nd 2.078 -1.190 15.425
Nd 2.078 -1.190 22.600
Nd 2.078 -2.702 4.514
Nd 2.078 -2.702 8.161
Nd 2.078 -5.030 13.620
Nd 2.078 -5.030 24.405
Nd 2.078 -6.459 6.338
Au 2.078 2.751 6.338
Au 2.078 -2.751 19.013
Se 2.078 6.217 3.652
Se 2.078 6.217 9.023
Se 2.078 3.846 14.482
Se 2.078 3.846 23.543
Se 2.078 0.000 0.000
Se 2.078 0.000 12.675
Se 2.078 -3.846 1.807
Se 2.078 -3.846 10.868
Se 2.078 -6.217 16.327
Se 2.078 -6.217 21.699
```



[7]
Here is crystalline CaMg3Ga3 at its relaxed geometry from Alexandria via LeMat-Bulk. Energies are from PBE-GGA.

Summary:
Energy of formation   -0.192 eV per atom
Space-group type   P2_1/m (11)
E   -2.46 eV per atom

extended XYZ file:
```
14
Lattice="8.636 0.000 0.000 0.000 4.695 0.000 -4.311 0.000 7.502" Properties=species:S:1:pos:R:3 pbc="T T T"
Ca 0.007 1.174 2.499
Ca 4.319 3.521 5.003
Mg -2.002 1.174 7.406
Mg -0.921 3.521 5.707
Mg 3.230 3.521 1.703
Mg 1.096 1.174 5.799
Mg 5.247 1.174 1.795
Mg 6.328 3.521 0.096
Ga -2.329 1.174 4.587
Ga 0.637 3.521 0.563
Ga 1.352 3.521 4.021
Ga 2.974 1.174 3.481
Ga 3.688 1.174 6.939
Ga 6.655 3.521 2.915
```



[8]
Here is crystalline CoAu2N at its relaxed geometry from Alexandria via LeMat-Bulk. Energies are from PBE-GGA.

Summary:
Formation energy (no corrections)   1.28 eV/atom
Space-group type   I-42d (122)
E   -4.21 eV per atom

extended XYZ file:
```
16
Lattice="4.878 0.000 0.000 0.000 4.878 0.000 0.000 0.000 12.391" Properties=species:S:1:pos:R:3 pbc="T T T"
Co 0.000 0.000 0.000
Co 0.000 2.439 3.098
Co 2.439 0.000 9.293
Co 2.439 2.439 6.195
Au 0.702 1.220 7.744
Au 1.220 3.141 10.842
Au 1.220 4.177 4.647
Au 1.738 1.220 1.549
Au 3.141 3.659 1.549
Au 3.659 0.702 4.647
Au 3.659 1.738 10.842
Au 4.177 3.659 7.744
N 0.000 0.000 6.195
N 0.000 2.439 9.293
N 2.439 0.000 3.098
N 2.439 2.439 0.000
```



Question: Among the records above, which one has the highest E?
Answer: CaMg3Ga3